An optimized crystal structure of AcPmAg3. Source: Alexandria, functional PBE.

Unit cell a=4.8639 b=3.9236 c=14.3562 alpha=97.85 beta=90.00 gamma=90.00
Last column: nearest neighbours and their distance in Å.
Fractional coordinates of all 10 atoms:
Ac 0.2500 0.0754 0.1508  12 Ag 3.41-3.54
Ac 0.7500 0.9246 0.8492  12 Ag 3.41-3.54
Pm 0.2500 0.7915 0.5830  7 Ag 3.12-3.24
Pm 0.7500 0.2085 0.4170  7 Ag 3.12-3.24
Ag 0.2500 0.3769 0.7537  3 Ag 2.81-2.90, 2 Pm 3.12
Ag 0.7500 0.6231 0.2463  3 Ag 2.81-2.90, 2 Pm 3.12
Ag 0.2500 0.4756 0.9512  3 Ag 2.80-2.81
Ag 0.7500 0.5244 0.0488  3 Ag 2.80-2.81
Ag 0.7500 0.3211 0.6422  2 Ag 2.90, 5 Pm 3.20-3.24
Ag 0.2500 0.6789 0.3578  2 Ag 2.90, 5 Pm 3.20-3.24

- ΔE_f (eV/atom) = -0.27
- calculated density (Mg/m³) = 8.512
- E_tot (eV per atom) = -3.756